Record 1
Ba4Ru3O10: relaxed, GGA-PBE.

Cell and atoms, written as POSCAR:
```
Ba4Ru3O10
1.0
-10.0451 8.6677 -0.9415
-2.5789 -2.4850 4.6378
1.9679 2.9741 6.3843
Ru Ba O
6 8 20
direct
0.8506 0.1244 0.7521 Ru
0.0000 0.0000 0.0000 Ru
0.3506 0.3756 0.2479 Ru
0.5000 0.5000 0.0000 Ru
0.1494 0.8756 0.2479 Ru
0.6494 0.6244 0.7521 Ru
0.6133 0.2600 0.4804 Ba
0.3867 0.7400 0.5196 Ba
0.1394 0.5348 0.9299 Ba
0.8867 0.7600 0.4804 Ba
0.8606 0.4652 0.0701 Ba
0.6394 0.9652 0.0701 Ba
0.3606 0.0348 0.9299 Ba
0.1133 0.2400 0.5196 Ba
0.3500 0.5348 0.9292 O
0.0355 0.1205 0.2200 O
0.8500 0.9652 0.0708 O
0.2505 0.1292 0.2387 O
0.3492 0.2304 0.5389 O
0.4650 0.1597 0.2202 O
0.7505 0.3708 0.7613 O
0.6500 0.4652 0.0708 O
0.0350 0.6597 0.2202 O
0.9645 0.8795 0.7800 O
0.2495 0.6292 0.2387 O
0.7495 0.8708 0.7613 O
0.1500 0.0348 0.9292 O
0.9650 0.3403 0.7798 O
0.5350 0.8403 0.7798 O
0.8492 0.2696 0.4611 O
0.6508 0.7696 0.4611 O
0.5355 0.3795 0.7800 O
0.4645 0.6205 0.2200 O
0.1508 0.7304 0.5389 O
```

Values from the calculation:
As for the raw formation energy: -1.87 eV per atom. The calculation puts the density of states at the Fermi level at 0.500 states/eV per atom. The total energy is -6.8800 eV per atom. As for the space group: P2_1/c, No. 14. The theoretical density is 6.44 Mg/m³.

Record 2
AcTm2Ge: relaxed, GGA-PBE.

Cell and atoms, written as POSCAR:
```
AcTm2Ge
1.0
-3.6552 1.3648 -0.1514
-2.4329 -1.2400 -2.7910
-5.2587 -7.9030 5.3639
Ge Tm Ac
1 2 1
direct
0.5000 0.5000 0.5000 Ge
0.8843 0.8843 0.3470 Tm
0.1157 0.1157 0.6530 Tm
0.0000 0.0000 0.0000 Ac
```

Values from the calculation:
The calculation puts the density of states at the Fermi level at 1.365 states/eV per atom. The total energy is -4.4941 eV per atom. As for the space group: R-3m, No. 166. Its calculated formation energy is -0.0769 eV per atom. The theoretical density is 7.52 Mg/m³.

Record 3
CdB3Os: relaxed, GGA-PBE.

Cell and atoms, written as POSCAR:
```
CdB3Os
1.0
-1.3978 1.8482 -3.4595
0.8614 -3.4382 -2.1850
-3.8265 -1.4492 0.7719
B Os Cd
3 1 1
direct
0.5000 0.0000 0.0000 B
0.0000 0.0000 0.5000 B
0.0000 0.5000 0.0000 B
0.5000 0.5000 0.5000 Os
0.0000 0.0000 0.0000 Cd
```

Values from the calculation:
The calculation puts the density of states at the Fermi level at 0.971 states/eV per atom. The total energy is -3.4747 eV per atom. As for the space group: Pm-3m, No. 221. Its calculated formation energy is 2.9607 eV per atom. The theoretical density is 7.71 Mg/m³.

Record 4
Hf8PRh2: relaxed, GGA-PBE.

Cell and atoms, written as POSCAR:
```
Hf8PRh2
1.0
4.6802 0.0000 0.0000
0.0000 5.9095 -0.0246
-2.3401 -2.5975 7.9793
Hf Rh P
8 2 1
direct
0.0190 0.7693 0.0379 Hf
0.4075 0.5331 0.8151 Hf
0.3305 0.9821 0.6609 Hf
0.7899 0.6423 0.5797 Hf
0.9810 0.2307 0.9621 Hf
0.2101 0.3577 0.4203 Hf
0.5925 0.4669 0.1849 Hf
0.6695 0.0179 0.3391 Hf
0.8322 0.2495 0.6644 Rh
0.1678 0.7505 0.3356 Rh
0.5000 0.0000 0.0000 P
```

Values from the calculation:
The calculation puts the density of states at the Fermi level at 0.734 states/eV per atom. The total energy is -9.5093 eV per atom. As for the space group: C2/m, No. 12. Its calculated formation energy is -0.4420 eV per atom. The theoretical density is 12.54 Mg/m³.

Record 5
FeGeN: relaxed, GGA-PBE.

Cell and atoms, written as POSCAR:
```
FeGeN
1.0
2.7044 0.1176 0.6710
0.0200 5.2252 -1.0050
1.5128 0.2082 5.4484
N Ge Fe
2 2 2
direct
0.8574 0.7224 0.8929 N
0.1426 0.2776 0.1071 N
0.5354 0.1795 0.7142 Ge
0.4646 0.8205 0.2858 Ge
0.5838 0.6997 0.6662 Fe
0.4162 0.3003 0.3338 Fe
```

Values from the calculation:
As for the raw formation energy: 0.23 eV per atom. The calculation puts the density of states at the Fermi level at 0.662 states/eV per atom. The total energy is -6.9088 eV per atom. As for the space group: P2_1/m, No. 11. The theoretical density is 6.57 Mg/m³.

Record 6
OsW2Au: relaxed, GGA-PBE.

Cell and atoms, written as POSCAR:
```
OsW2Au
1.0
2.8031 0.0000 0.0000
0.0000 2.8031 0.0000
0.0000 0.0000 8.2416
Au Os W
1 1 2
direct
0.0000 0.0000 0.5034 Au
0.5000 0.5000 0.7674 Os
0.0000 0.0000 0.9839 W
0.5000 0.5000 0.2453 W
```

Values from the calculation:
The calculation puts the density of states at the Fermi level at 0.872 states/eV per atom. The total energy is -9.7609 eV per atom. As for the space group: P4mm, No. 99. Its calculated formation energy is 0.3425 eV per atom. The theoretical density is 19.36 Mg/m³.

Record 7
Mg2IrNO: relaxed, GGA-PBE.

Cell and atoms, written as POSCAR:
```
Mg2IrNO
1.0
4.9707 0.0000 0.0000
0.0000 4.9707 0.0000
0.0000 0.0000 3.6447
O Mg N Ir
1 2 1 1
direct
0.5000 0.5000 0.5000 O
0.0000 0.5000 0.0000 Mg
0.5000 0.0000 0.0000 Mg
0.0000 0.0000 0.5000 N
0.0000 0.0000 0.0000 Ir
```

Values from the calculation:
As for the raw formation energy: 0.00 eV per atom. The calculation puts the density of states at the Fermi level at 0.268 states/eV per atom. The total energy is -5.0626 eV per atom. As for the space group: P4/mmm, No. 123. The theoretical density is 4.99 Mg/m³.

Record 8
Cs12K3Cd5: relaxed, GGA-PBE.

Cell and atoms, written as POSCAR:
```
Cs12K3Cd5
1.0
21.4461 0.0000 0.0000
-7.1487 20.2196 0.0000
-7.1487 -10.1098 17.5107
Cs K Cd
48 12 20
direct
0.4033 0.2981 0.3233 Cs
0.4748 0.6767 0.0800 Cs
0.9200 0.0967 0.8948 Cs
0.3233 0.7981 0.4033 Cs
0.9748 0.5800 0.1767 Cs
0.0967 0.9200 0.3948 Cs
0.5800 0.9748 0.6767 Cs
0.2981 0.4033 0.8233 Cs
0.1052 0.7019 0.5252 Cs
0.6767 0.4748 0.5800 Cs
0.0252 0.6052 0.7019 Cs
0.6052 0.5800 0.9033 Cs
0.1052 0.4033 0.0800 Cs
0.9033 0.8233 0.7981 Cs
0.5967 0.7019 0.6767 Cs
0.9748 0.3948 0.2981 Cs
0.4200 0.3948 0.5967 Cs
0.6052 0.0252 0.2019 Cs
0.1767 0.0800 0.9748 Cs
0.3948 0.4200 0.0967 Cs
0.2019 0.5252 0.6052 Cs
0.0800 0.1767 0.4748 Cs
0.5967 0.8948 0.4200 Cs
0.4748 0.7981 0.8948 Cs
0.7981 0.4748 0.3948 Cs
0.7019 0.5967 0.1767 Cs
0.3948 0.9748 0.7981 Cs
0.0252 0.4200 0.8233 Cs
0.7981 0.3233 0.9033 Cs
0.1767 0.0967 0.7019 Cs
0.3233 0.5252 0.4200 Cs
0.9033 0.0800 0.6052 Cs
0.0800 0.9033 0.1052 Cs
0.2981 0.8948 0.9748 Cs
0.8948 0.2981 0.4748 Cs
0.5252 0.2019 0.1052 Cs
0.0967 0.1767 0.2019 Cs
0.8233 0.9200 0.0252 Cs
0.5252 0.3233 0.9200 Cs
0.4200 0.0252 0.3233 Cs
0.8948 0.5967 0.9200 Cs
0.9200 0.8233 0.5252 Cs
0.5800 0.6052 0.4033 Cs
0.2019 0.6767 0.0967 Cs
0.8233 0.9033 0.2981 Cs
0.7019 0.1052 0.0252 Cs
0.6767 0.2019 0.5967 Cs
0.4033 0.1052 0.5800 Cs
0.1250 0.2500 0.8750 K
0.3750 0.7500 0.6250 K
0.3750 0.6250 0.2500 K
0.2500 0.6250 0.8750 K
0.7500 0.8750 0.6250 K
0.8750 0.7500 0.1250 K
0.1250 0.8750 0.7500 K
0.6250 0.2500 0.3750 K
0.6250 0.3750 0.7500 K
0.2500 0.1250 0.3750 K
0.8750 0.1250 0.2500 K
0.7500 0.3750 0.1250 K
0.5000 0.5000 0.5000 Cd
0.8750 0.2500 0.6250 Cd
0.2500 0.8750 0.1250 Cd
0.5000 0.5000 0.0000 Cd
0.0000 0.0000 0.5000 Cd
0.0000 0.5000 0.5000 Cd
0.6250 0.7500 0.8750 Cd
0.5000 0.0000 0.0000 Cd
0.1250 0.3750 0.2500 Cd
0.0000 0.0000 0.0000 Cd
0.1250 0.7500 0.3750 Cd
0.3750 0.2500 0.1250 Cd
0.0000 0.5000 0.0000 Cd
0.2500 0.3750 0.6250 Cd
0.7500 0.6250 0.3750 Cd
0.8750 0.6250 0.7500 Cd
0.3750 0.1250 0.7500 Cd
0.7500 0.1250 0.8750 Cd
0.6250 0.8750 0.2500 Cd
0.5000 0.0000 0.5000 Cd
```

Values from the calculation:
The calculation puts the density of states at the Fermi level at 1.186 states/eV per atom. The total energy is -0.7869 eV per atom. As for the space group: Ia-3d, No. 230. Its calculated formation energy is 0.1187 eV per atom. The theoretical density is 1.99 Mg/m³.

Record 9
CoBi4: relaxed, GGA-PBE.

Cell and atoms, written as POSCAR:
```
CoBi4
1.0
-5.1652 -0.5932 -0.1431
0.2416 -3.1076 4.1637
-0.5604 4.1283 3.1137
Co Bi
1 4
direct
0.5000 0.5000 0.5000 Co
0.0000 0.0000 0.0000 Bi
0.5000 0.5000 0.0000 Bi
0.5000 0.0000 0.5000 Bi
0.0000 0.5000 0.5000 Bi
```

Values from the calculation:
The calculation puts the density of states at the Fermi level at 0.818 states/eV per atom. The total energy is -4.2093 eV per atom. As for the space group: Pm-3m, No. 221. Its calculated formation energy is 0.3166 eV per atom. The theoretical density is 10.56 Mg/m³.

Record 10
Ce5Cd3In3: relaxed, GGA-PBE.

Cell and atoms, written as POSCAR:
```
Ce5Cd3In3
1.0
3.2079 0.0000 0.0000
0.0000 9.1086 -5.2588
0.0000 0.0000 10.5177
Cd In Ce
3 3 5
direct
0.5000 0.1548 0.1548 Cd
0.5000 0.8452 0.0000 Cd
0.5000 0.0000 0.8452 Cd
0.0000 0.3855 0.3855 In
0.0000 0.0000 0.6145 In
0.0000 0.6145 0.0000 In
0.5000 0.3526 0.0000 Ce
0.5000 0.6667 0.3333 Ce
0.5000 0.0000 0.3526 Ce
0.5000 0.3333 0.6667 Ce
0.5000 0.6474 0.6474 Ce
```

Values from the calculation:
The calculation puts the density of states at the Fermi level at 2.878 states/eV per atom. The total energy is -3.6136 eV per atom. As for the space group: P-62m, No. 189. Its calculated formation energy is 0.0801 eV per atom. The theoretical density is 7.47 Mg/m³.

Record 11
TmCoSnRu: relaxed, GGA-PBE.

Cell and atoms, written as POSCAR:
```
TmCoSnRu
1.0
4.5724 0.0000 0.0000
2.2862 3.9598 0.0000
2.2862 1.3199 3.7333
Tm Ru Co Sn
1 1 1 1
direct
0.0000 0.0000 0.0000 Tm
0.7500 0.7500 0.7500 Ru
0.2500 0.2500 0.2500 Co
0.5000 0.5000 0.5000 Sn
```

Values from the calculation:
The calculation puts the density of states at the Fermi level at 0.212 states/eV per atom. The total energy is -6.5786 eV per atom. As for the space group: F-43m, No. 216. Its calculated formation energy is -0.3646 eV per atom. The theoretical density is 11.00 Mg/m³.

Record 12
La3CSe2: relaxed, GGA-PBE.

Cell and atoms, written as POSCAR:
```
La3CSe2
1.0
7.1671 0.0555 -1.3330
-2.7212 6.6307 -1.3330
-0.0586 -0.0881 13.1058
La C Se
12 4 8
direct
0.2134 0.2134 0.0000 La
0.3773 0.4093 0.3194 La
0.8727 0.3407 0.1806 La
0.3079 0.8399 0.1806 La
0.4634 0.9634 0.5000 La
0.5907 0.6227 0.6806 La
0.7866 0.7866 0.0000 La
0.0899 0.0579 0.6806 La
0.0366 0.5366 0.5000 La
0.6593 0.1273 0.8194 La
0.9421 0.9101 0.3194 La
0.1601 0.6921 0.8194 La
0.9153 0.9153 0.8307 C
0.3347 0.8347 0.6693 C
0.1653 0.6653 0.3307 C
0.0847 0.0847 0.1693 C
0.7466 0.7466 0.4933 Se
0.6708 0.1708 0.3416 Se
0.5792 0.5792 0.1584 Se
0.4208 0.4208 0.8416 Se
0.5034 0.0034 0.0067 Se
0.8292 0.3292 0.6584 Se
0.2534 0.2534 0.5067 Se
0.9966 0.4966 0.9933 Se
```

Values from the calculation:
As for the raw formation energy: -1.37 eV per atom. The calculation puts the density of states at the Fermi level at 0.245 states/eV per atom. The total energy is -6.5323 eV per atom. As for the space group: Fddd, No. 70. The theoretical density is 6.25 Mg/m³.

Copy entry 2 word for word.
AcTm2Ge: relaxed, GGA-PBE.

Cell and atoms, written as POSCAR:
```
AcTm2Ge
1.0
-3.6552 1.3648 -0.1514
-2.4329 -1.2400 -2.7910
-5.2587 -7.9030 5.3639
Ge Tm Ac
1 2 1
direct
0.5000 0.5000 0.5000 Ge
0.8843 0.8843 0.3470 Tm
0.1157 0.1157 0.6530 Tm
0.0000 0.0000 0.0000 Ac
```

Values from the calculation:
The calculation puts the density of states at the Fermi level at 1.365 states/eV per atom. The total energy is -4.4941 eV per atom. As for the space group: R-3m, No. 166. Its calculated formation energy is -0.0769 eV per atom. The theoretical density is 7.52 Mg/m³.